DFT (PBE-GGA) results for a relaxed structure of ScAlNi2H.

abc: 5.737 5.737 6.987
angles: 90.00 90.00 148.18
Element x y z (fractional)
Sc 0.021 0.979 0.750
Sc 0.979 0.021 0.250
Al 0.249 0.751 0.250
Al 0.751 0.249 0.750
Ni 0.355 0.645 0.551
Ni 0.355 0.645 0.949
Ni 0.645 0.355 0.051
Ni 0.645 0.355 0.449
H 0.500 0.500 0.000
H 0.500 0.500 0.500

Results
The energy above the most stable polymorph in this dataset comes out at 0.00 kcal/mol of atoms. The value obtained for the electronic total energy is -55.2 eV per cell. The calculation puts the mass density at 5.21 g/cm³. Its density of states at the Fermi level is 0.340 states/eV/atom.



DFT (PBE-GGA) results for a relaxed structure of Li2H2Pd.

abc: 5.449 5.449 3.200
angles: 90.00 90.00 90.00
Element x y z (fractional)
Li 0.164 0.336 0.000
Li 0.336 0.836 0.000
Li 0.664 0.164 0.000
Li 0.836 0.664 0.000
H 0.191 0.691 0.500
H 0.309 0.191 0.500
H 0.691 0.809 0.500
H 0.809 0.309 0.500
Pd 0.000 0.000 0.500
Pd 0.500 0.500 0.500

Results
The value obtained for the electronic total energy is -34.2 eV per cell. The calculation puts the mass density at 4.28 g/cm³. Its density of states at the Fermi level is 0.000 states/eV/atom.



DFT (PBE-GGA) results for a relaxed structure of Nd4TeOs.

abc: 7.992 7.992 6.483
angles: 98.95 98.95 112.95
Element x y z (fractional)
Nd 0.063 0.722 0.953
Nd 0.205 0.361 0.589
Nd 0.278 0.937 0.547
Nd 0.361 0.205 0.089
Nd 0.639 0.795 0.911
Nd 0.722 0.063 0.453
Nd 0.795 0.639 0.411
Nd 0.937 0.278 0.047
Te 0.381 0.619 0.250
Te 0.619 0.381 0.750
Os 0.001 0.999 0.750
Os 0.999 0.001 0.250

Results
The energy above the most stable polymorph in this dataset comes out at 0.00 kcal/mol of atoms. The value obtained for the electronic total energy is -72.8 eV per cell. The calculation puts the mass density at 8.12 g/cm³. Its density of states at the Fermi level is 0.897 states/eV/atom. The calculation puts the raw formation energy at -0.50 eV/atom.



DFT (PBE-GGA) results for a relaxed structure of YThBeAl.

abc: 5.067 5.067 5.067
angles: 60.00 60.00 60.00
Element x y z (fractional)
Y 0.000 0.000 0.000
Th 0.500 0.500 0.500
Be 0.250 0.250 0.250
Al 0.750 0.750 0.750

Results
The value obtained for the electronic total energy is -21.6 eV per cell. The calculation puts the mass density at 6.44 g/cm³. Its density of states at the Fermi level is 0.296 states/eV/atom.



DFT (PBE-GGA) results for a relaxed structure of Li2Ho2CdPd5.

abc: 9.571 9.571 3.727
angles: 90.00 90.00 90.00
Element x y z (fractional)
Li 0.118 0.382 0.000
Li 0.382 0.882 0.000
Li 0.618 0.118 0.000
Li 0.882 0.618 0.000
Ho 0.180 0.680 0.000
Ho 0.320 0.180 0.000
Ho 0.680 0.820 0.000
Ho 0.820 0.320 0.000
Cd 0.000 0.000 0.000
Cd 0.500 0.500 0.000
Pd 0.000 0.500 0.500
Pd 0.070 0.211 0.500
Pd 0.211 0.930 0.500
Pd 0.289 0.430 0.500
Pd 0.430 0.711 0.500
Pd 0.500 0.000 0.500
Pd 0.570 0.289 0.500
Pd 0.711 0.570 0.500
Pd 0.789 0.070 0.500
Pd 0.930 0.789 0.500

Results
The value obtained for the electronic total energy is -92.6 eV per cell. The calculation puts the mass density at 9.61 g/cm³. Its density of states at the Fermi level is 0.527 states/eV/atom.



DFT (PBE-GGA) results for a relaxed structure of CeTh5In2.

abc: 6.950 13.893 4.960
angles: 90.00 90.00 90.00
Element x y z (fractional)
Ce 0.000 0.000 0.000
Ce 0.500 0.500 0.000
Th 0.000 0.500 0.000
Th 0.006 0.250 0.000
Th 0.242 0.878 0.500
Th 0.258 0.378 0.500
Th 0.494 0.750 0.000
Th 0.500 0.000 0.000
Th 0.506 0.250 0.000
Th 0.742 0.622 0.500
Th 0.758 0.122 0.500
Th 0.994 0.750 0.000
In 0.246 0.626 0.500
In 0.254 0.126 0.500
In 0.746 0.874 0.500
In 0.754 0.374 0.500

Results
The value obtained for the electronic total energy is -99.7 eV per cell. The calculation puts the mass density at 10.61 g/cm³. Its density of states at the Fermi level is 1.471 states/eV/atom.



DFT (PBE-GGA) results for a relaxed structure of Be4HgMo.

abc: 4.593 4.593 4.593
angles: 60.00 60.00 60.00
Element x y z (fractional)
Be 0.380 0.380 0.380
Be 0.380 0.380 0.859
Be 0.380 0.859 0.380
Be 0.859 0.380 0.380
Hg 0.000 0.000 0.000
Mo 0.750 0.750 0.750

Results
The value obtained for the electronic total energy is -24.5 eV per cell. The calculation puts the mass density at 8.06 g/cm³. Its density of states at the Fermi level is 0.660 states/eV/atom.



DFT (PBE-GGA) results for a relaxed structure of K3MnPb.

abc: 6.785 6.785 6.785
angles: 90.00 90.00 90.00
Element x y z (fractional)
K 0.000 0.000 0.500
K 0.000 0.500 0.000
K 0.500 0.000 0.000
Mn 0.500 0.500 0.500
Pb 0.000 0.000 0.000

Results
The energy above the most stable polymorph in this dataset comes out at 0.00 kcal/mol of atoms. The value obtained for the electronic total energy is -12.7 eV per cell. The calculation puts the mass density at 2.02 g/cm³. Its density of states at the Fermi level is 2.844 states/eV/atom.



Which of these has the highest mass density?
CeTh5In2